# 1
A relaxed structure of K3In5Pb6. Source: the Alexandria database, functional PBE-GGA.

```
28
Lattice="5.358 0.000 0.000 0.000 15.165 0.000 0.000 0.000 11.434" Properties=species:S:1:pos:R:3 pbc="T T T"
K 1.340 0.625 2.833
K 1.340 6.958 2.833
K 1.340 11.373 2.865
K 4.019 3.791 8.569
K 4.019 8.207 8.600
K 4.019 14.540 8.600
In 1.340 1.513 7.039
In 1.340 6.069 7.039
In 1.340 9.215 11.005
In 1.340 11.373 8.590
In 1.340 13.532 11.005
In 4.019 1.633 0.428
In 4.019 3.791 2.843
In 4.019 5.949 0.428
In 4.019 9.095 4.395
In 4.019 13.652 4.395
Pb 1.340 1.426 10.130
Pb 1.340 3.791 0.892
Pb 1.340 3.791 4.841
Pb 1.340 6.156 10.130
Pb 1.340 9.103 6.126
Pb 1.340 13.644 6.126
Pb 4.019 1.521 5.308
Pb 4.019 6.061 5.308
Pb 4.019 9.008 1.304
Pb 4.019 11.373 6.593
Pb 4.019 11.373 10.542
Pb 4.019 13.739 1.304
```

## Properties
crystal system: orthorhombic
DFT formation energy: -0.10 eV per atom

# 2
A relaxed structure of KLi2RhF6. Source: the Alexandria database, functional PBE-GGA.

```
20
Lattice="4.274 -5.165 0.000 4.274 5.165 0.000 -0.123 0.000 6.166" Properties=species:S:1:pos:R:3 pbc="T T T"
K 4.182 4.297 4.625
K 4.244 -4.297 1.542
Li 2.946 1.053 4.097
Li 3.007 -1.053 1.014
Li 5.419 1.053 5.152
Li 5.480 -1.053 2.069
Rh 4.244 2.087 1.542
Rh 4.182 -2.087 4.625
F 3.014 3.603 2.067
F 3.643 2.012 5.761
F 2.928 0.633 2.031
F 5.474 3.603 1.016
F 4.722 2.012 3.488
F 2.866 -0.633 5.114
F 5.559 0.633 1.052
F 3.704 -2.012 2.678
F 2.952 -3.603 5.150
F 5.498 -0.633 4.135
F 4.783 -2.012 0.405
F 5.412 -3.603 4.099
```

## Properties
ΔE_f (raw): -2.372 eV per atom
crystal system: monoclinic

# 3
A relaxed structure of Rb4HfIn2. Source: the Alexandria database, functional PBE-GGA.

```
7
Lattice="-3.576 3.576 8.753 3.576 -3.576 8.753 3.576 3.576 -8.753" Properties=species:S:1:pos:R:3 pbc="T T T"
Rb 3.576 0.000 0.000
Rb 0.000 0.000 3.666
Rb 0.000 3.576 0.000
Rb 0.000 0.000 13.840
Hf 0.000 0.000 0.000
In 0.000 0.000 7.331
In 0.000 0.000 10.176
```

## Properties
crystal system: tetragonal
DFT formation energy: 0.84 eV per atom

# 4
A relaxed structure of BaEu2Lu. Source: the Alexandria database, functional PBE-GGA.

```
4
Lattice="4.153 0.000 0.000 0.000 4.153 0.000 0.000 0.000 9.883" Properties=species:S:1:pos:R:3 pbc="T T T"
Ba 0.000 0.000 0.000
Eu 2.077 2.077 2.920
Eu 2.077 2.077 6.963
Lu 0.000 0.000 4.941
```

## Properties
crystal system: tetragonal
DFT formation energy: 0.12 eV per atom
E above lowest polymorph: 0.0000 eV/atom

# 5
A relaxed structure of Ca4SnSbH. Source: the Alexandria database, functional PBE-GGA.

```
14
Lattice="3.353 -8.487 0.000 3.353 8.487 0.000 0.000 0.000 6.676" Properties=species:S:1:pos:R:3 pbc="T T T"
Ca 1.677 4.243 0.000
Ca 1.677 4.243 3.338
Ca 3.353 7.319 5.007
Ca 3.353 1.279 5.007
Ca 1.677 -4.243 0.000
Ca 1.677 -4.243 3.338
Ca 3.353 -1.279 1.669
Ca 3.353 -7.319 1.669
Sn 3.353 6.470 1.669
Sn 3.353 -6.470 5.007
Sb 3.353 1.964 1.669
Sb 3.353 -1.964 5.007
H 3.353 3.997 5.007
H 3.353 -3.997 1.669
```

## Properties
crystal system: orthorhombic

# 6
A relaxed structure of Mg4AgRh. Source: the Alexandria database, functional PBE-GGA.

```
6
Lattice="4.471 0.000 0.000 0.000 4.471 0.000 0.000 0.000 6.507" Properties=species:S:1:pos:R:3 pbc="T T T"
Mg 0.000 2.235 1.496
Mg 0.000 2.235 5.011
Mg 2.235 0.000 1.496
Mg 2.235 0.000 5.011
Ag 0.000 0.000 3.254
Rh 2.235 2.235 0.000
```

## Properties
crystal system: tetragonal
DFT formation energy: -0.15 eV per atom
E above lowest polymorph: 0.1438 eV/atom

# 7
A relaxed structure of Ta2Ti5Rh. Source: the Alexandria database, functional PBE-GGA.

```
8
Lattice="0.000 4.507 4.583 3.243 0.000 4.583 3.243 4.507 0.000" Properties=species:S:1:pos:R:3 pbc="T T T"
Ta 3.243 2.136 4.583
Ta 3.243 6.878 4.583
Ti 3.243 4.507 1.955
Ti 1.622 2.253 2.245
Ti 4.789 4.507 4.440
Ti 1.698 4.507 4.440
Ti 4.865 6.760 6.828
Rh 3.243 4.507 6.774
```

## Properties
crystal system: orthorhombic
DFT formation energy: -0.14 eV per atom

# 8
A relaxed structure of Li5Mg2Tl2Hg. Source: the Alexandria database, functional PBE-GGA.

```
20
Lattice="10.452 0.000 0.000 0.000 10.452 0.000 0.000 0.000 3.862" Properties=species:S:1:pos:R:3 pbc="T T T"
Li 0.000 5.226 0.000
Li 0.681 1.954 0.000
Li 1.954 9.770 0.000
Li 3.272 4.545 0.000
Li 4.545 7.180 0.000
Li 5.226 0.000 0.000
Li 5.907 3.272 0.000
Li 7.180 5.907 0.000
Li 8.498 0.681 0.000
Li 9.770 8.498 0.000
Mg 1.739 6.964 1.931
Mg 3.487 1.739 1.931
Mg 6.964 8.713 1.931
Mg 8.713 3.487 1.931
Tl 1.395 3.830 1.931
Tl 3.830 9.056 1.931
Tl 6.621 1.395 1.931
Tl 9.056 6.621 1.931
Hg 0.000 0.000 1.931
Hg 5.226 5.226 1.931
```

## Properties
crystal system: tetragonal
DFT formation energy: -0.15 eV per atom

# 9
A relaxed structure of NdPu3Th2P6. Source: the Alexandria database, functional PBE-GGA.

```
12
Lattice="8.883 -2.048 0.000 8.883 2.048 0.000 -1.801 0.000 7.921" Properties=species:S:1:pos:R:3 pbc="T T T"
Nd 0.000 0.000 0.000
Pu -0.900 0.000 3.960
Pu 5.622 0.000 1.322
Pu 10.342 0.000 6.599
Th 4.732 0.000 5.298
Th 11.232 0.000 2.623
P 1.880 0.000 4.657
P 2.878 0.000 0.607
P 8.381 0.000 2.051
P 7.583 0.000 5.870
P 13.087 0.000 7.314
P 14.085 0.000 3.263
```

## Properties
crystal system: monoclinic
DFT formation energy: -1.35 eV per atom

# 10
A relaxed structure of RbLiNbHg2. Source: the Alexandria database, functional PBE-GGA.

```
5
Lattice="5.891 0.000 0.000 0.000 5.891 0.000 0.000 0.000 4.970" Properties=species:S:1:pos:R:3 pbc="T T T"
Rb 0.000 0.000 0.000
Li 0.000 0.000 2.485
Nb 2.945 2.945 2.485
Hg 0.000 2.945 0.000
Hg 2.945 0.000 0.000
```

## Properties
crystal system: tetragonal
DFT formation energy: 1.43 eV per atom

# 11
A relaxed structure of SiMoIr. Source: the Alexandria database, functional PBE-GGA.

```
12
Lattice="6.216 0.000 0.000 0.000 3.892 0.000 0.000 0.000 7.133" Properties=species:S:1:pos:R:3 pbc="T T T"
Si 1.491 0.973 0.867
Si 1.617 2.919 4.433
Si 4.599 0.973 2.700
Si 4.725 2.919 6.267
Mo 0.168 2.919 2.359
Mo 2.940 0.973 5.925
Mo 3.276 2.919 1.208
Mo 6.048 0.973 4.774
Ir 0.907 2.919 6.681
Ir 2.201 0.973 3.115
Ir 4.015 2.919 4.019
Ir 5.309 0.973 0.452
```

## Properties
ΔE_f (raw): -0.528 eV per atom
crystal system: orthorhombic
E above lowest polymorph: 0.0000 eV/atom

# 12
A relaxed structure of NdPu5Rh6. Source: the Alexandria database, functional PBE-GGA.

```
12
Lattice="-2.418 3.469 7.298 2.418 -3.469 7.298 2.418 3.469 -7.298" Properties=species:S:1:pos:R:3 pbc="T T T"
Nd 0.000 0.000 0.000
Pu 2.418 0.000 2.370
Pu 0.000 0.000 4.808
Pu 0.000 3.469 0.000
Pu 0.000 0.000 9.789
Pu 0.000 3.469 4.928
Rh 2.418 -1.663 4.787
Rh 2.418 1.863 0.000
Rh 0.000 1.805 2.511
Rh 2.418 1.663 4.787
Rh 0.000 1.605 7.298
Rh 0.000 5.132 2.511
```

## Properties
crystal system: orthorhombic
DFT formation energy: -0.45 eV per atom

# 13
A relaxed structure of Al3PbAu. Source: the Alexandria database, functional PBE-GGA.

```
5
Lattice="4.947 0.000 0.000 0.000 4.947 0.000 0.000 0.000 4.947" Properties=species:S:1:pos:R:3 pbc="T T T"
Al 0.000 0.000 2.474
Al 0.000 2.474 0.000
Al 2.474 0.000 0.000
Pb 2.474 2.474 2.474
Au 0.000 0.000 0.000
```

## Properties
crystal system: cubic
DFT formation energy: 0.22 eV per atom
E above lowest polymorph: 0.0000 eV/atom

# 14
A relaxed structure of CdAg2Pb4. Source: the Alexandria database, functional PBE-GGA.

```
7
Lattice="-2.849 2.849 7.103 2.849 -2.849 7.103 2.849 2.849 -7.103" Properties=species:S:1:pos:R:3 pbc="T T T"
Cd 0.000 0.000 0.000
Ag 0.000 0.000 5.718
Ag 0.000 0.000 8.488
Pb 2.849 0.000 0.000
Pb 0.000 0.000 2.930
Pb 0.000 2.849 0.000
Pb 0.000 0.000 11.276
```

## Properties
crystal system: tetragonal
DFT formation energy: 0.40 eV per atom

# 15
A relaxed structure of Pr8Hg2Bi. Source: the Alexandria database, functional PBE-GGA.

```
11
Lattice="8.803 -2.611 0.000 8.803 2.611 0.000 -3.585 0.000 7.727" Properties=species:S:1:pos:R:3 pbc="T T T"
Pr -0.015 0.000 1.859
Pr 0.179 0.000 5.645
Pr 3.666 0.000 4.241
Pr 6.948 0.000 0.315
Pr 7.074 0.000 7.411
Pr 10.356 0.000 3.485
Pr 13.843 0.000 2.082
Pr 14.037 0.000 5.868
Hg 3.150 0.000 1.146
Hg 10.872 0.000 6.581
Bi 7.011 0.000 3.863
```

## Properties
crystal system: monoclinic
DFT formation energy: -0.30 eV per atom

# 16
A relaxed structure of KGa2Pd. Source: the Alexandria database, functional PBE-GGA.

```
4
Lattice="2.203 1.272 6.114 -2.203 1.272 6.114 0.000 -2.544 6.114" Properties=species:S:1:pos:R:3 pbc="T T T"
K 0.000 0.000 0.000
Ga 0.000 0.000 3.497
Ga 0.000 0.000 14.843
Pd 0.000 0.000 9.170
```

## Properties
crystal system: trigonal
DFT formation energy: -0.35 eV per atom

# 17
A relaxed structure of Cd2FeTc. Source: the Alexandria database, functional PBE-GGA.

```
4
Lattice="-1.512 2.393 4.739 1.512 -2.393 4.739 1.512 2.393 -4.739" Properties=species:S:1:pos:R:3 pbc="T T T"
Cd 0.000 0.000 0.000
Cd 0.000 2.393 2.130
Fe 1.512 0.000 2.438
Tc 0.000 0.000 4.308
```

## Properties
crystal system: orthorhombic
DFT formation energy: 0.41 eV per atom
E above lowest polymorph: 0.2158 eV/atom

# 18
A relaxed structure of LaBe2Cr. Source: the Alexandria database, functional PBE-GGA.

```
4
Lattice="2.821 -3.793 0.000 2.821 3.793 0.000 0.000 0.000 3.048" Properties=species:S:1:pos:R:3 pbc="T T T"
La 0.000 0.000 0.000
Be 1.410 1.896 1.524
Be 1.410 -1.896 1.524
Cr 2.821 0.000 0.000
```

## Properties
crystal system: orthorhombic
DFT formation energy: 0.68 eV per atom
E above lowest polymorph: 0.4857 eV/atom

# 19
A relaxed structure of SrCa6Nd. Source: the Alexandria database, functional PBE-GGA.

```
8
Lattice="6.107 -2.844 0.000 6.107 2.844 0.000 -4.845 0.000 9.749" Properties=species:S:1:pos:R:3 pbc="T T T"
Sr 0.000 0.000 0.000
Ca -1.164 0.000 8.429
Ca 1.221 0.000 3.741
Ca 4.796 0.000 2.518
Ca 2.574 0.000 7.231
Ca 6.149 0.000 6.007
Ca 8.533 0.000 1.320
Nd -2.423 0.000 4.874
```

## Properties
crystal system: monoclinic
DFT formation energy: 0.06 eV per atom
E above lowest polymorph: 0.0030 eV/atom

# 20
A relaxed structure of HfTa3Mo. Source: the Alexandria database, functional PBE-GGA.

```
5
Lattice="4.820 0.000 0.000 0.000 4.820 0.000 0.000 0.000 4.820" Properties=species:S:1:pos:R:3 pbc="T T T"
Hf 0.000 0.000 0.000
Ta 0.000 2.410 2.410
Ta 2.410 0.000 2.410
Ta 2.410 2.410 0.000
Mo 2.410 2.410 2.410
```

## Properties
crystal system: cubic
DFT formation energy: 1.20 eV per atom
E above lowest polymorph: 0.0000 eV/atom

We obtain magnetization values of 0.00, 0.37, 2.28, 14.87, 0.00, 0.00, 0.00, 0.00, 5.27, 3.74, 1.19, 24.08, 0.00, 0.00, 0.00, 0.00, 3.17, 2.43, 0.98, 0.00 μB per cell for the records listed above, in that order.
We obtain electronic total energy values of -2.9024, -4.7225, -1.9173, -6.6328, -3.5519, -2.9146, -8.9564, -1.9289, -9.2760, -1.2776, -8.8992, -10.4983, -3.4231, -2.6640, -4.1789, -3.4399, -4.7562, -4.8164, -2.2440, -10.0656 eV per atom for the records listed above, in that order.
We obtain ρ values of 6.92, 3.29, 2.78, 6.00, 3.51, 3.93, 8.73, 5.45, 8.80, 5.65, 12.17, 13.44, 6.65, 8.33, 8.12, 4.60, 9.17, 5.32, 2.32, 12.12 g/cm³ for the records listed above, in that order.